A plane-wave DFT calculation with GGA-PBE was carried out for a relaxed structure of InNi3Cl.

Summary:
- distance to the lowest polymorph of the same formula (meV/atom) = 0
- density (g/cm³) = 6.95
- formation energy from raw total energies (eV per atom) = 0.465

The structure in CIF format:
```
data_InNi3Cl
_chemical_formula_sum 'In1 Ni3 Cl1'
_symmetry_space_group_name_H-M 'P m -3 m'
_symmetry_Int_Tables_number 221
_symmetry_space_group_name_Hall '-P 4 2 3'
_cell_length_a 4.271
_cell_length_b 4.271
_cell_length_c 4.271
_cell_angle_alpha 90.00
_cell_angle_beta 90.00
_cell_angle_gamma 90.00
loop_
_atom_site_label
_atom_site_type_symbol
_atom_site_fract_x
_atom_site_fract_y
_atom_site_fract_z
In1 In 0.000 0.000 0.000
Ni1 Ni 0.000 0.500 0.500
Cl1 Cl 0.500 0.500 0.500
```

=====

A plane-wave DFT calculation with GGA-PBE was carried out for a relaxed structure of SrHgMo.

Summary:
- distance to the lowest polymorph of the same formula (meV/atom) = 187
- density (g/cm³) = 9.00
- formation energy (eV/atom) = 0.868

The structure in CIF format:
```
data_SrHgMo
_chemical_formula_sum 'Sr1 Hg1 Mo1'
_symmetry_space_group_name_H-M 'P 3 m 1'
_symmetry_Int_Tables_number 156
_cell_length_a 3.2435
_cell_length_b 3.2435
_cell_length_c 7.7818
_cell_angle_alpha 90.00
_cell_angle_beta 90.00
_cell_angle_gamma 120.00
loop_
_symmetry_equiv_pos_as_xyz
'x,y,z'
'-y,x-y,z'
'-x+y,-x,z'
'-y,-x,z'
'-x+y,y,z'
'x,x-y,z'
loop_
_atom_site_label
_atom_site_type_symbol
_atom_site_fract_x
_atom_site_fract_y
_atom_site_fract_z
Sr1 Sr 0.0000 0.0000 0.0000
Hg1 Hg 0.6667 0.3333 0.3671
Mo1 Mo 0.3333 0.6667 0.6633
```

=====

A plane-wave DFT calculation with GGA-PBE was carried out for a relaxed structure of ZnCdSe2N.

Summary:
- distance to the lowest polymorph of the same formula (meV/atom) = 411
- density (g/cm³) = 4.86
- formation energy from raw total energies (eV per atom) = 1.089

The structure in CIF format:
```
data_ZnCdSe2N
_chemical_formula_sum 'Zn1 Cd1 Se2 N1'
_symmetry_space_group_name_H-M 'P 4/m m m'
_symmetry_Int_Tables_number 123
_symmetry_space_group_name_Hall '-P 4 2'
_cell_length_a 5.346
_cell_length_b 5.346
_cell_length_c 4.180
_cell_angle_alpha 90.00
_cell_angle_beta 90.00
_cell_angle_gamma 90.00
loop_
_atom_site_label
_atom_site_type_symbol
_atom_site_fract_x
_atom_site_fract_y
_atom_site_fract_z
Zn1 Zn 0.000 0.000 0.000
Cd1 Cd 0.500 0.500 0.500
Se1 Se 0.000 0.500 0.500
N1 N 0.500 0.500 0.000
```

=====

A plane-wave DFT calculation with GGA-PBE was carried out for a relaxed structure of CuPt.

Summary:
- density (g/cm³) = 15.27
- formation energy (eV/atom) = -0.106

The structure in CIF format:
```
data_CuPt
_chemical_formula_sum 'Cu12 Pt12'
_symmetry_space_group_name_H-M 'C m m 2'
_symmetry_Int_Tables_number 35
_cell_length_a 5.438
_cell_length_b 7.621
_cell_length_c 8.145
_cell_angle_alpha 90.00
_cell_angle_beta 90.00
_cell_angle_gamma 90.00
loop_
_symmetry_equiv_pos_as_xyz
'x,y,z'
'-x,-y,z'
'-x,y,z'
'x,-y,z'
'x+1/2,y+1/2,z'
'-x+1/2,-y+1/2,z'
'-x+1/2,y+1/2,z'
'x+1/2,-y+1/2,z'
loop_
_atom_site_label
_atom_site_type_symbol
_atom_site_fract_x
_atom_site_fract_y
_atom_site_fract_z
Cu1 Cu 0.000 0.000 0.000
Cu2 Cu 0.000 0.000 0.319
Cu3 Cu 0.250 0.250 0.163
Cu4 Cu 0.250 0.250 0.483
Pt1 Pt 0.000 0.000 0.640
Pt2 Pt 0.000 0.500 0.000
Pt3 Pt 0.000 0.500 0.324
Pt4 Pt 0.000 0.500 0.653
Pt5 Pt 0.250 0.250 0.831
```

=====

A plane-wave DFT calculation with GGA-PBE was carried out for a relaxed structure of SiAgMo2.

Summary:
- density (g/cm³) = 8.54
- formation energy from raw total energies (eV per atom) = 0.217

The structure in CIF format:
```
data_SiAgMo2
_chemical_formula_sum 'Si2 Ag2 Mo4'
_symmetry_space_group_name_H-M 'C m m 2'
_symmetry_Int_Tables_number 35
_cell_length_a 3.254
_cell_length_b 4.471
_cell_length_c 8.767
_cell_angle_alpha 90.00
_cell_angle_beta 90.00
_cell_angle_gamma 90.00
loop_
_symmetry_equiv_pos_as_xyz
'x,y,z'
'-x,-y,z'
'-x,y,z'
'x,-y,z'
'x+1/2,y+1/2,z'
'-x+1/2,-y+1/2,z'
'-x+1/2,y+1/2,z'
'x+1/2,-y+1/2,z'
loop_
_atom_site_label
_atom_site_type_symbol
_atom_site_fract_x
_atom_site_fract_y
_atom_site_fract_z
Si1 Si 0.000 0.000 0.000
Ag1 Ag 0.000 0.500 0.254
Mo1 Mo 0.000 0.000 0.528
Mo2 Mo 0.000 0.500 0.776
```

=====

A plane-wave DFT calculation with GGA-PBE was carried out for a relaxed structure of TbTlAu2.

Summary:
- distance to the lowest polymorph of the same formula (meV/atom) = 100
- density (g/cm³) = 13.69
- formation energy (eV/atom) = -0.463

The structure in CIF format:
```
data_TbTlAu2
_chemical_formula_sum 'Tb1 Tl1 Au2'
_symmetry_space_group_name_H-M 'P 4/m m m'
_symmetry_Int_Tables_number 123
_symmetry_space_group_name_Hall '-P 4 2'
_cell_length_a 4.855
_cell_length_b 4.855
_cell_length_c 3.898
_cell_angle_alpha 90.00
_cell_angle_beta 90.00
_cell_angle_gamma 90.00
loop_
_atom_site_label
_atom_site_type_symbol
_atom_site_fract_x
_atom_site_fract_y
_atom_site_fract_z
Tb1 Tb 0.000 0.000 0.000
Tl1 Tl 0.500 0.500 0.000
Au1 Au 0.000 0.500 0.500
```